No. 1
Computed, not measured: a relaxed structure of Pu4SiBr5 at the GGA-PBE level of DFT.

Summary:
As for the uncorrected formation energy: -11.1 eV per formula unit. The calculation puts the final energy at -8.22 eV per atom.

Lattice parameters (Å, degrees): 4.106 8.450 9.327 101.94 102.72 90.00
Fractional coordinates of all 10 atoms:
Br  0.831  0.182  0.662
Br  0.169  0.818  0.338
Br  0.831  0.672  0.661
Br  0.500  0.500  0.000
Br  0.169  0.328  0.339
Pu  0.002  0.236  0.005
Pu  0.659  0.071  0.319
Pu  0.998  0.764  0.995
Pu  0.341  0.929  0.681
Si  0.500  0.000  0.000

***

No. 2
Computed, not measured: a relaxed structure of Pm3Sn2Pd3 at the GGA-PBE level of DFT.

Summary:
The formation energy comes out at -0.805 eV/atom. The calculation puts the final energy at -5.53 eV per atom.

Lattice parameters (Å, degrees): 4.556 6.046 15.027 90.00 90.00 112.14
Fractional coordinates of all 16 atoms:
Sn  0.787  0.573  0.900
Sn  0.213  0.427  0.100
Sn  0.787  0.573  0.600
Sn  0.213  0.427  0.400
Pm  0.921  0.841  0.395
Pm  0.079  0.159  0.895
Pm  0.921  0.841  0.105
Pm  0.079  0.159  0.605
Pm  0.623  0.245  0.250
Pm  0.377  0.755  0.750
Pd  0.388  0.776  0.959
Pd  0.353  0.705  0.250
Pd  0.647  0.295  0.750
Pd  0.612  0.224  0.459
Pd  0.612  0.224  0.041
Pd  0.388  0.776  0.541

***

No. 3
Computed, not measured: a relaxed structure of Tm5P4S at the GGA-PBE level of DFT.

Summary:
As for the uncorrected formation energy: -17.3 eV per formula unit. The calculation puts the final energy at -6.55 eV per atom.

Lattice parameters (Å, degrees): 5.554 6.805 6.805 80.41 65.92 65.92
Fractional coordinates of all 10 atoms:
P  0.203  0.198  0.399
P  0.602  0.601  0.198
P  0.400  0.399  0.802
P  0.799  0.802  0.601
Tm  0.501  0.000  0.000
Tm  0.697  0.202  0.405
Tm  0.103  0.595  0.202
Tm  0.899  0.405  0.798
Tm  0.305  0.798  0.595
S  0.001  0.000  0.000

***

No. 4
Computed, not measured: a relaxed structure of ZnBr3O at the GGA-PBE level of DFT.

Summary:
As for the uncorrected formation energy: -2.1 eV per formula unit. The calculation puts the final energy at -2.66 eV per atom. For the energy above the lowest structure with this stoichiometry, the calculation gives 0.700 kcal/mol of atoms.

Lattice parameters (Å, degrees): 6.765 7.180 7.868 82.53 71.25 71.31
Fractional coordinates of all 10 atoms:
Zn  0.662  0.990  0.081
Zn  0.262  0.649  0.101
O  0.432  0.500  0.884
O  0.738  0.117  0.840
Br  0.268  0.497  0.419
Br  0.714  0.369  0.817
Br  0.898  0.655  0.099
Br  0.654  0.196  0.304
Br  0.945  0.761  0.566
Br  0.291  0.975  0.109

***

What is the final energy in the second record?
-5.53 eV per atom

***

The highest final energy belongs to which entry?
ZnBr3O